Material: TbZn5Ag2
Method: DFT, PBE-GGA
State: relaxed

The calculation puts the formation energy from the elements at -138 meV per atom.

Unit cell a=3.911 b=6.650 c=6.650 alpha=65.44 beta=72.90 gamma=72.90
Element x y z (fractional)
Zn1 0.376 0.433 0.816
Zn2 0.624 0.184 0.567
Zn3 0.000 0.500 0.500
Zn4 0.376 0.816 0.433
Zn5 0.624 0.567 0.184
Ag1 0.252 0.248 0.248
Ag2 0.748 0.752 0.752
Tb1 0.000 0.000 0.000

Material: TmTaGa2
Method: DFT, PBE-GGA
State: relaxed

The calculation puts the formation energy from the elements at -80 meV per atom.

Unit cell a=3.141 b=3.141 c=9.410 alpha=80.39 beta=80.39 gamma=60.00
Element x y z (fractional)
Ga1 0.255 0.255 0.234
Ga2 0.745 0.745 0.766
Ta1 0.000 0.000 0.000
Tm1 0.500 0.500 0.500

Material: Rb3PmTl2O6
Method: DFT, PBE-GGA
State: relaxed

The formation energy (no corrections) comes out at -1.4854 eV per atom.

Unit cell a=6.165 b=6.165 c=6.886 alpha=98.59 beta=98.59 gamma=119.96
Element x y z (fractional)
Rb1 0.170 0.830 0.500
Rb2 0.500 0.500 0.500
Rb3 0.830 0.170 0.500
Tl1 0.334 0.666 0.000
Tl2 0.666 0.334 0.000
O1 0.602 0.938 0.813
O2 0.398 0.062 0.187
O3 0.726 0.726 0.187
O4 0.274 0.274 0.813
O5 0.938 0.602 0.813
O6 0.062 0.398 0.187
Pm1 0.000 0.000 0.000

Material: Pm6DyYHo2
Method: DFT, PBE-GGA
State: relaxed

The calculation puts the formation energy from the elements at 115 meV per atom.

Unit cell a=9.643 b=8.928 c=8.928 alpha=118.01 beta=93.82 gamma=93.82
Element x y z (fractional)
Ho1 0.455 0.801 0.699
Ho2 0.545 0.199 0.301
Ho3 0.045 0.301 0.199
Ho4 0.955 0.699 0.801
Y1 0.250 0.974 0.026
Y2 0.750 0.026 0.974
Dy1 0.250 0.410 0.590
Dy2 0.750 0.590 0.410
Pm1 0.881 0.291 0.506
Pm2 0.054 0.119 0.759
Pm3 0.314 0.986 0.435
Pm4 0.946 0.881 0.241
Pm5 0.619 0.494 0.709
Pm6 0.446 0.241 0.881
Pm7 0.814 0.435 0.986
Pm8 0.554 0.759 0.119
Pm9 0.186 0.565 0.014
Pm10 0.686 0.014 0.565
Pm11 0.381 0.506 0.291
Pm12 0.119 0.709 0.494

Material: Ti2InBr6
Method: DFT, PBE-GGA
State: relaxed

The formation energy (no corrections) comes out at -1.0291 eV per atom.

Unit cell a=7.644 b=6.658 c=6.658 alpha=120.00 beta=90.00 gamma=90.00
Last column: magnetic moment on the atom in μB.
Element x y z (fractional)
Br1 0.699 0.645 0.645  -0.01
Br2 0.301 0.000 0.645  -0.01
Br3 0.301 0.355 0.355  -0.01
Br4 0.699 0.000 0.355  -0.01
Br5 0.301 0.645 0.000  -0.01
Br6 0.699 0.355 0.000  -0.01
In1 0.000 0.000 0.000  0.02
Ti1 0.500 0.667 0.333  1.27
Ti2 0.500 0.333 0.667  1.27

Material: Er6Ga2Te3Pb
Method: DFT, PBE-GGA
State: relaxed

The formation energy (no corrections) comes out at -0.8813 eV per atom.

Unit cell a=4.182 b=8.809 c=9.774 alpha=107.84 beta=102.35 gamma=90.00
Element x y z (fractional)
Er1 0.008 0.255 0.017
Er2 0.330 0.421 0.660
Er3 0.331 0.894 0.661
Er4 0.992 0.745 0.983
Er5 0.669 0.106 0.339
Er6 0.670 0.579 0.340
Te1 0.837 0.162 0.674
Te2 0.500 0.500 0.000
Te3 0.163 0.838 0.326
Pb1 0.500 0.000 0.000
Ga1 0.170 0.344 0.341
Ga2 0.830 0.656 0.659

Number 1: total moment 0.00 μB per atom. Number 2: total moment 0.00 μB per atom. Number 3: total moment 0.00 μB per atom. Number 4: total moment 0.00 μB per atom. Number 5: total moment 0.33 μB per atom. Number 6: total moment 0.00 μB per atom.